(i)
This record from Alexandria describes ScTiI2O after structural relaxation. The functional is PBE-GGA.

The calculation puts the density at 4.505 Mg/m³. The total moment comes out at 2.927 μB/f.u.

The space group is P4/mmm (No. 123) and the conventional cell measures 5.8944, 5.8944 and 3.8474 Å, with angles of 90.00, 90.00 and 90.00 degrees. The inequivalent atoms are Sc at (0.0000, 0.0000, 0.0000), Ti at (0.5000, 0.5000, 0.5000), I at (0.0000, 0.5000, 0.0000) and O at (0.0000, 0.0000, 0.5000).

(ii)
This record from Alexandria describes ScTiI2O after structural relaxation. The functional is PBE-GGA.

The calculation puts the density at 4.898 Mg/m³. The total moment comes out at 1.561 μB/f.u.

The space group is P4/mmm (No. 123) and the conventional cell measures 5.7420, 5.7420 and 3.7285 Å, with angles of 90.00, 90.00 and 90.00 degrees. The inequivalent atoms are Sc at (0.0000, 0.0000, 0.0000), Ti at (0.5000, 0.5000, 0.5000), I at (0.0000, 0.5000, 0.5000) and O at (0.5000, 0.5000, 0.0000).

Which structure is the most stable? The one labeled (ii).

(i)
This record from Alexandria describes ScTlI2O after structural relaxation. The functional is PBE-GGA.

The calculation puts the density at 5.817 Mg/m³. The total moment comes out at 0.000 μB/f.u.

The space group is P4/mmm (No. 123) and the conventional cell measures 6.1346, 6.1346 and 3.9381 Å, with angles of 90.00, 90.00 and 90.00 degrees. The inequivalent atoms are Sc at (0.0000, 0.0000, 0.0000), Tl at (0.5000, 0.5000, 0.5000), I at (0.0000, 0.5000, 0.0000) and O at (0.0000, 0.0000, 0.5000).

(ii)
This record from Alexandria describes ScTlI2O after structural relaxation. The functional is PBE-GGA.

The calculation puts the density at 5.403 Mg/m³. The total moment comes out at 1.345 μB/f.u.

The space group is P4/mmm (No. 123) and the conventional cell measures 6.2263, 6.2263 and 4.1155 Å, with angles of 90.00, 90.00 and 90.00 degrees. The inequivalent atoms are Sc at (0.0000, 0.0000, 0.0000), Tl at (0.5000, 0.5000, 0.5000), I at (0.0000, 0.5000, 0.5000) and O at (0.5000, 0.5000, 0.0000).

Which structure is the most stable? The one labeled (i).